No. 1
Here is crystalline ErTm2Zr at its relaxed geometry from the Alexandria database. Energies are from PBE-GGA.

Lattice parameters (Å, degrees): 3.4042 3.4042 33.5075 90.00 90.00 120.00
Last column: nearest neighbours and their distance in Å.
Space group R-3m (No. 166, hexagonal axes)
Inequivalent atoms, fractional coordinates:
1 Er 0.0000 0.0000 0.0000 [3 per cell]  6 Er 3.40, 6 Tm 3.54
2 Tm 0.0000 0.0000 0.2454 [6 per cell]  3 Zr 3.29, 6 Tm 3.40, 3 Er 3.54
3 Zr 0.0000 0.0000 0.5000 [3 per cell]  6 Tm 3.29, 6 Zr 3.40

Properties
- crystal system = trigonal
- energy of formation from the pure elements (eV/f.u.) = 0.3
- density of states at the Fermi level (states/eV per atom) = 1.3890
- offset from the most stable computed form (eV per formula unit) = 0.086
- total magnetization (Bohr magnetons per cell) = 0.000



No. 2
Here is crystalline Er4Tm4Zr at its relaxed geometry from the Alexandria database. Energies are from PBE-GGA.

Lattice parameters (Å, degrees): 10.4094 10.4094 4.8625 90.00 90.00 90.00
Last column: nearest neighbours and their distance in Å.
Space group I4/mmm (No. 139)
Inequivalent atoms, fractional coordinates:
1 Er 0.1611 0.1611 0.0000 [8 per cell]  4 Er 3.35-3.57, 2 Zr 3.40, 6 Tm 3.43-3.53
2 Tm 0.0000 0.3278 0.5000 [8 per cell]  1 Zr 3.41, 6 Er 3.43-3.53, 5 Tm 3.51-3.59
3 Zr 0.0000 0.0000 0.5000 [2 per cell]  8 Er 3.40, 4 Tm 3.41

Properties
- crystal system = tetragonal
- energy of formation from the pure elements (eV/f.u.) = 0.4
- density of states at the Fermi level (states/eV per atom) = 1.2886
- total magnetization (Bohr magnetons per cell) = 0.000



No. 3
Here is crystalline Er8Tm5Zr at its relaxed geometry from the Alexandria database. Energies are from PBE-GGA.

Lattice parameters (Å, degrees): 13.2754 9.8042 9.3942 90.00 134.91 90.00
Last column: nearest neighbours and their distance in Å.
Space group C2 (No. 5)
Inequivalent atoms, fractional coordinates:
1 Er 0.0663 0.0000 0.2368 [4 per cell]  5 Tm 3.26-3.49, 4 Er 3.44-3.64
2 Er 0.0926 0.3352 0.4072 [4 per cell]  1 Zr 3.08, 5 Tm 3.14-3.41
3 Er 0.1706 0.6680 0.1039 [4 per cell]  5 Tm 3.27-3.49, 4 Er 3.44-3.64
4 Er 0.1850 0.8329 0.7766 [4 per cell]  1 Zr 3.08, 5 Tm 3.14-3.42
5 Tm 0.0000 0.0842 0.5000 [2 per cell]  8 Er 3.14-3.27
6 Tm 0.1085 0.6658 0.4011 [4 per cell]  8 Er 3.25-3.49, 2 Tm 3.50-3.51
7 Tm 0.2073 0.5018 0.8161 [4 per cell]  8 Er 3.26-3.49, 2 Tm 3.50-3.51
8 Zr 0.0000 0.3343 0.0000 [2 per cell]  4 Er 3.08

Properties
- crystal system = monoclinic
- energy of formation from the pure elements (eV/f.u.) = 4.2
- density of states at the Fermi level (states/eV per atom) = 1.5311
- total magnetization (Bohr magnetons per cell) = 3.297



No. 4
Here is crystalline ErTmZr at its relaxed geometry from the Alexandria database. Energies are from PBE-GGA.

Lattice parameters (Å, degrees): 3.4268 17.9429 5.4110 90.00 90.00 90.00
Last column: nearest neighbours and their distance in Å.
Space group Cmcm (No. 63)
Inequivalent atoms, fractional coordinates:
1 Er 0.0000 0.2147 0.2500 [4 per cell]  4 Tm 3.36-3.68, 2 Zr 3.38, 6 Er 3.43-3.44
2 Tm 0.0000 0.1035 0.7500 [4 per cell]  6 Zr 3.28-3.33, 2 Er 3.36, 2 Tm 3.43
3 Zr 0.0000 0.4479 0.7500 [4 per cell]  6 Tm 3.28-3.33, 4 Zr 3.29-3.43, 2 Er 3.38

Properties
- crystal system = orthorhombic
- energy of formation from the pure elements (eV/f.u.) = 0.1
- density of states at the Fermi level (states/eV per atom) = 1.4870
- offset from the most stable computed form (eV per formula unit) = 0.000
- total magnetization (Bohr magnetons per cell) = 0.001



No. 5
Here is crystalline ErTm8Zr4 at its relaxed geometry from the Alexandria database. Energies are from PBE-GGA.

Lattice parameters (Å, degrees): 6.7076 7.0845 8.0673 89.27 80.67 89.49
Last column: nearest neighbours and their distance in Å.
Space group P-1 (No. 2)
Inequivalent atoms, fractional coordinates:
1 Er 0.0000 0.0000 0.0000 [1 per cell]  4 Tm 2.90-2.93
2 Tm 0.1996 0.2738 0.7599 [2 per cell]  1 Er 2.90, 2 Zr 3.09-3.10, 1 Tm 3.17
3 Tm 0.2020 0.7208 0.7634 [2 per cell]  1 Er 2.93, 2 Zr 3.10-3.14, 1 Tm 3.17
4 Tm 0.3110 0.2592 0.2087 [2 per cell]  4 Tm 3.32-3.59, 4 Zr 3.34-3.41, 1 Er 3.44
5 Tm 0.3156 0.7528 0.2097 [2 per cell]  4 Tm 3.30-3.59, 4 Zr 3.32-3.40, 1 Er 3.38
6 Zr 0.0000 0.0000 0.5000 [1 per cell]  8 Tm 3.32-3.41, 4 Zr 3.35-3.54
7 Zr 0.0000 0.5000 0.5000 [1 per cell]  8 Tm 3.09-3.40, 2 Zr 3.35
8 Zr 0.5000 0.0000 0.5000 [1 per cell]  8 Tm 3.30-3.36, 4 Zr 3.35-3.54
9 Zr 0.5000 0.5000 0.5000 [1 per cell]  8 Tm 3.10-3.34, 2 Zr 3.35

Properties
- crystal system = triclinic
- energy of formation from the pure elements (eV/f.u.) = 3.8
- density of states at the Fermi level (states/eV per atom) = 1.3777
- total magnetization (Bohr magnetons per cell) = 0.000



No. 6
Here is crystalline ErTm8Zr2 at its relaxed geometry from the Alexandria database. Energies are from PBE-GGA.

Lattice parameters (Å, degrees): 8.7284 15.4829 5.7145 90.00 124.00 90.00
Last column: nearest neighbours and their distance in Å.
Space group C2/m (No. 12)
Inequivalent atoms, fractional coordinates:
1 Er 0.0000 0.0000 0.0000 [2 per cell]  4 Tm 3.24-3.25
2 Tm 0.0000 0.2101 0.0000 [4 per cell]  2 Zr 3.24, 1 Er 3.25, 6 Tm 3.32-3.60
3 Tm 0.0707 0.5000 0.7929 [4 per cell]  3 Tm 2.85-3.17
4 Tm 0.2196 0.1233 0.6742 [8 per cell]  5 Tm 3.17-3.47, 2 Zr 3.29
5 Zr 0.0000 0.3092 0.5000 [4 per cell]  8 Tm 3.24-3.29

Properties
- crystal system = monoclinic
- energy of formation from the pure elements (eV/f.u.) = 2.3
- density of states at the Fermi level (states/eV per atom) = 1.3372
- total magnetization (Bohr magnetons per cell) = 0.001



No. 7
Here is crystalline ErTm6Zr2 at its relaxed geometry from the Alexandria database. Energies are from PBE-GGA.

Lattice parameters (Å, degrees): 12.6125 3.5354 12.0058 90.00 105.91 90.00
Last column: nearest neighbours and their distance in Å.
Space group C2/m (No. 12)
Inequivalent atoms, fractional coordinates:
1 Er 0.0000 0.0000 0.0000 [2 per cell]  8 Tm 3.51-3.76, 2 Er 3.54, 4 Zr 3.75
2 Tm 0.0239 0.0000 0.7047 [4 per cell]  2 Zr 3.18, 8 Tm 3.27-3.54
3 Tm 0.1493 0.5000 0.5305 [4 per cell]  3 Zr 3.32-3.35, 9 Tm 3.34-3.64
4 Tm 0.2121 0.5000 0.8869 [4 per cell]  2 Zr 3.13, 4 Tm 3.16-3.27
5 Zr 0.1747 0.5000 0.2623 [4 per cell]  7 Tm 3.13-3.35

Properties
- crystal system = monoclinic
- energy of formation from the pure elements (eV/f.u.) = 1.0
- density of states at the Fermi level (states/eV per atom) = 1.3470
- offset from the most stable computed form (eV per formula unit) = 0.359
- total magnetization (Bohr magnetons per cell) = 0.000



No. 8
Here is crystalline ErTm2Zr at its relaxed geometry from the Alexandria database. Energies are from PBE-GGA.

Lattice parameters (Å, degrees): 3.4303 3.4303 33.0733 90.00 90.00 120.00
Last column: nearest neighbours and their distance in Å.
Space group R3m (No. 160, hexagonal axes)
Inequivalent atoms, fractional coordinates:
1 Er 0.0000 0.0000 0.0000 [3 per cell]  6 Er 3.43, 6 Tm 3.49-3.52
2 Tm 0.0000 0.0000 0.5786 [3 per cell]  3 Zr 3.29, 6 Tm 3.43, 3 Er 3.52
3 Tm 0.0000 0.0000 0.7537 [3 per cell]  3 Zr 3.27, 6 Tm 3.43, 3 Er 3.49
4 Zr 0.0000 0.0000 0.1659 [3 per cell]  6 Tm 3.27-3.29, 6 Zr 3.43

Properties
- crystal system = trigonal
- energy of formation from the pure elements (eV/f.u.) = 0.2
- density of states at the Fermi level (states/eV per atom) = 1.6403
- offset from the most stable computed form (eV per formula unit) = 0.036
- total magnetization (Bohr magnetons per cell) = 0.006



> Among the records above, which one has the lowest energy of formation from the pure elements?

ErTmZr



> Which formula does entry 6 have?

ErTm8Zr2



> What is the total magnetization in the fourth record?

0.001 Bohr magnetons per cell



> What is the formula in the fourth record?

ErTmZr